DFT (SCAN) results for HgAuF3 at its PBEsol-relaxed geometry.

CIF file:
```
data_HgAuF3
_chemical_formula_sum 'Hg1 Au1 F3'
_cell_length_a 4.313
_cell_length_b 4.313
_cell_length_c 4.313
_cell_angle_alpha 90.00
_cell_angle_beta 90.00
_cell_angle_gamma 90.00
_symmetry_space_group_name_H-M 'P m -3 m'
_symmetry_Int_Tables_number 221
_symmetry_space_group_name_Hall '-P 4 2 3'
loop_
_atom_site_label
_atom_site_type_symbol
_atom_site_fract_x
_atom_site_fract_y
_atom_site_fract_z
Hg1 Hg 0.000 0.000 0.000
Au1 Au 0.500 0.500 0.500
F1 F 0.000 0.500 0.500
```

For the total energy, the calculation gives -151.8 eV per cell. The value obtained for the total magnetization is 0.7 μB per formula unit. For the uncorrected formation energy, the calculation gives -0.7798 eV per atom. Its density of states at the Fermi level is 2.2 states/eV/f.u.



DFT (SCAN) results for HgAuO2F at its PBEsol-relaxed geometry.

CIF file:
```
data_HgAuO2F
_chemical_formula_sum 'Hg1 Au1 O2 F1'
_cell_length_a 4.159
_cell_length_b 4.159
_cell_length_c 4.272
_cell_angle_alpha 90.00
_cell_angle_beta 90.00
_cell_angle_gamma 90.00
_symmetry_space_group_name_H-M 'P 4/m m m'
_symmetry_Int_Tables_number 123
_symmetry_space_group_name_Hall '-P 4 2'
loop_
_atom_site_label
_atom_site_type_symbol
_atom_site_fract_x
_atom_site_fract_y
_atom_site_fract_z
Hg1 Hg 0.000 0.000 0.000
Au1 Au 0.500 0.500 0.500
O1 O 0.000 0.500 0.000
F1 F 0.000 0.000 0.500
```

For the total energy, the calculation gives -151.4 eV per cell. The value obtained for the total magnetization is 0.7 μB per formula unit. For the uncorrected formation energy, the calculation gives 0.3910 eV per atom. Its density of states at the Fermi level is 3.5 states/eV/f.u.



DFT (SCAN) results for TcHgAu2F at its PBEsol-relaxed geometry.

CIF file:
```
data_TcHgAu2F
_chemical_formula_sum 'Tc1 Hg1 Au2 F1'
_cell_length_a 4.337
_cell_length_b 4.337
_cell_length_c 4.805
_cell_angle_alpha 90.00
_cell_angle_beta 90.00
_cell_angle_gamma 90.00
_symmetry_space_group_name_H-M 'P 4/m m m'
_symmetry_Int_Tables_number 123
_symmetry_space_group_name_Hall '-P 4 2'
loop_
_atom_site_label
_atom_site_type_symbol
_atom_site_fract_x
_atom_site_fract_y
_atom_site_fract_z
Tc1 Tc 0.000 0.000 0.000
Hg1 Hg 0.500 0.500 0.000
Au1 Au 0.000 0.500 0.500
F1 F 0.500 0.500 0.500
```

For the total energy, the calculation gives -241.0 eV per cell. The value obtained for the total magnetization is 3.6 μB per formula unit. For the uncorrected formation energy, the calculation gives 0.8060 eV per atom. Its density of states at the Fermi level is 3.2 states/eV/f.u.



DFT (SCAN) results for AuIF2 at its PBEsol-relaxed geometry.

CIF file:
```
data_AuIF2
_chemical_formula_sum 'Au4 I4 F8'
_cell_length_a 6.253
_cell_length_b 6.253
_cell_length_c 6.253
_cell_angle_alpha 90.00
_cell_angle_beta 90.00
_cell_angle_gamma 90.00
_symmetry_space_group_name_H-M 'F m -3 m'
_symmetry_Int_Tables_number 225
_symmetry_space_group_name_Hall '-F 4 2 3'
loop_
_atom_site_label
_atom_site_type_symbol
_atom_site_fract_x
_atom_site_fract_y
_atom_site_fract_z
Au1 Au 0.000 0.000 0.000
I1 I 0.000 0.000 0.500
F1 F 0.250 0.250 0.250
```

For the total energy, the calculation gives -454.4 eV per cell. The value obtained for the total magnetization is 0.0 μB per formula unit. For the uncorrected formation energy, the calculation gives -0.1540 eV per atom. Its density of states at the Fermi level is 3.3 states/eV/f.u.



- The highest uncorrected formation energy belongs to which entry?
  TcHgAu2F